VASP calculation (PBE) on MgCdHPt2 after structural relaxation. Values from VASP.

Structure (Quantum ESPRESSO input):
```
&SYSTEM
  ibrav = 0, nat = 5, ntyp = 4
/
ATOMIC_SPECIES
Mg 24.30 Mg.upf
Cd 112.41 Cd.upf
H 1.01 H.upf
Pt 195.08 Pt.upf
ATOMIC_POSITIONS crystal
Mg 0.0000 0.0000 0.0000
Cd 0.5000 0.5000 0.0000
H 0.0000 0.0000 0.5000
Pt 0.0000 0.5000 0.5000
Pt 0.5000 0.0000 0.5000
CELL_PARAMETERS angstrom
4.0837 0.0000 0.0000
0.0000 4.0837 0.0000
0.0000 0.0000 4.1714
```

Properties
For the raw total energy, the calculation gives -0.146 Ha/atom. The space group is P4/mmm, No. 123. For the density of states at the Fermi level, the calculation gives 1.1 states/eV per cell. As for the crystal system: tetragonal. For the calculated volume, the calculation gives 69.6 Å³/cell.